# Zr2RuPt

Zr2RuPt after structural relaxation (GGA-PBE, Alexandria).

Computed properties:
V ... 73.1 Å³/cell
N(E_F) ... 0.7269 states/eV per atom
Uncorrected energy ... -8.8421 eV/atom
Energy of formation from the pure elements ... -3.0 eV per formula unit

The structure in CIF format:
```
data_Zr2RuPt
_chemical_formula_sum 'Zr2 Ru1 Pt1'
_symmetry_space_group_name_H-M 'P 1'
_symmetry_Int_Tables_number 1
_symmetry_space_group_name_Hall 'P 1'
_cell_length_a 4.720
_cell_length_b 4.720
_cell_length_c 3.286
_cell_angle_alpha 90.02
_cell_angle_beta 90.02
_cell_angle_gamma 93.11
loop_
_atom_site_label
_atom_site_type_symbol
_atom_site_fract_x
_atom_site_fract_y
_atom_site_fract_z
Ru1 Ru 0.000 0.500 0.500
Pt1 Pt 0.500 0.000 0.500
Zr1 Zr 0.000 0.000 0.000
Zr2 Zr 0.500 0.500 0.000
```

# HoSn2Hg2

HoSn2Hg2 after structural relaxation (GGA-PBE, Alexandria).

Computed properties:
V ... 248.4 Å³/cell
N(E_F) ... 0.4184 states/eV per atom
Uncorrected energy ... -2.9276 eV/atom
Energy of formation from the pure elements ... -1.5 eV per formula unit

The structure in CIF format:
```
data_HoSn2Hg2
_chemical_formula_sum 'Ho2 Sn4 Hg4'
_symmetry_space_group_name_H-M 'P 1'
_symmetry_Int_Tables_number 1
_symmetry_space_group_name_Hall 'P 1'
_cell_length_a 4.574
_cell_length_b 4.435
_cell_length_c 12.456
_cell_angle_alpha 90.00
_cell_angle_beta 100.58
_cell_angle_gamma 90.00
loop_
_atom_site_label
_atom_site_type_symbol
_atom_site_fract_x
_atom_site_fract_y
_atom_site_fract_z
Sn1 Sn 0.142 0.250 0.284
Hg1 Hg 0.454 0.750 0.907
Sn2 Sn 0.250 0.750 0.500
Sn3 Sn 0.858 0.750 0.716
Ho1 Ho 0.647 0.750 0.295
Ho2 Ho 0.353 0.250 0.705
Hg2 Hg 0.546 0.250 0.093
Hg3 Hg 0.951 0.250 0.902
Hg4 Hg 0.049 0.750 0.098
Sn4 Sn 0.750 0.250 0.500
```

# DyTm3Ru8

DyTm3Ru8 after structural relaxation (GGA-PBE, Alexandria).

Computed properties:
V ... 211.6 Å³/cell
N(E_F) ... 1.2315 states/eV per atom
Uncorrected energy ... -8.0190 eV/atom
Energy of formation from the pure elements ... -4.0 eV per formula unit

The structure in CIF format:
```
data_DyTm3Ru8
_chemical_formula_sum 'Dy1 Tm3 Ru8'
_symmetry_space_group_name_H-M 'P 1'
_symmetry_Int_Tables_number 1
_symmetry_space_group_name_Hall 'P 1'
_cell_length_a 5.299
_cell_length_b 5.299
_cell_length_c 9.225
_cell_angle_alpha 73.31
_cell_angle_beta 73.31
_cell_angle_gamma 60.00
loop_
_atom_site_label
_atom_site_type_symbol
_atom_site_fract_x
_atom_site_fract_y
_atom_site_fract_z
Tm1 Tm 0.500 0.500 0.501
Ru1 Ru 0.938 0.436 0.689
Ru2 Ru 0.438 0.939 0.186
Tm2 Tm 0.375 0.375 0.875
Ru3 Ru 0.188 0.188 0.437
Ru4 Ru 0.938 0.938 0.689
Ru5 Ru 0.939 0.438 0.186
Dy1 Dy 0.875 0.875 0.375
Ru6 Ru 0.436 0.938 0.689
Ru7 Ru 0.688 0.688 0.937
Tm3 Tm 0.000 0.000 0.000
Ru8 Ru 0.438 0.438 0.186
```

# Ho2Er2Mg5Sc

Ho2Er2Mg5Sc after structural relaxation (GGA-PBE, Alexandria).

Computed properties:
V ... 539.6 Å³/cell
N(E_F) ... 0.7537 states/eV per atom
Uncorrected energy ... -3.1481 eV/atom
Energy of formation from the pure elements ... 1.1 eV per formula unit

The structure in CIF format:
```
data_Ho2Er2Mg5Sc
_chemical_formula_sum 'Ho4 Er4 Mg10 Sc2'
_symmetry_space_group_name_H-M 'P 1'
_symmetry_Int_Tables_number 1
_symmetry_space_group_name_Hall 'P 1'
_cell_length_a 4.923
_cell_length_b 10.469
_cell_length_c 10.469
_cell_angle_alpha 90.00
_cell_angle_beta 90.00
_cell_angle_gamma 90.00
loop_
_atom_site_label
_atom_site_type_symbol
_atom_site_fract_x
_atom_site_fract_y
_atom_site_fract_z
Er1 Er 0.000 0.120 0.620
Ho1 Ho 0.000 0.177 0.323
Er2 Er 0.000 0.380 0.120
Mg1 Mg 0.500 0.072 0.808
Sc1 Sc 0.000 0.500 0.500
Mg2 Mg 0.500 0.928 0.192
Mg3 Mg 0.500 0.428 0.308
Mg4 Mg 0.500 0.572 0.692
Sc2 Sc 0.000 0.000 0.000
Ho2 Ho 0.000 0.677 0.177
Mg5 Mg 0.500 0.692 0.428
Mg6 Mg 0.500 0.808 0.928
Ho3 Ho 0.000 0.823 0.677
Mg7 Mg 0.500 0.308 0.572
Er3 Er 0.000 0.880 0.380
Ho4 Ho 0.000 0.323 0.823
Er4 Er 0.000 0.620 0.880
Mg8 Mg 0.500 0.192 0.072
Mg9 Mg 0.500 0.000 0.500
Mg10 Mg 0.500 0.500 0.000
```

Number 1: spin magnetization 0.0 μB per formula unit. Number 2: spin magnetization 0.0 μB per formula unit. Number 3: spin magnetization 0.0 μB per formula unit. Number 4: spin magnetization 0.0 μB per formula unit.